(1)
# Mg2AgPb PBE relaxed
# DFT formation energy ... -44 meV/atom
# Fermi-level density of states ... 2.3 states/eV per cell
data_Mg2AgPb
_chemical_formula_sum 'Mg4 Ag2 Pb2'
_space_group_name_H-M_alt 'C 1 2/m 1'
_space_group_IT_number 12
_cell_length_a 9.382
_cell_length_b 3.369
_cell_length_c 5.929
_cell_angle_alpha 90.00
_cell_angle_beta 100.62
_cell_angle_gamma 90.00
loop_
_space_group_symop_operation_xyz
'x,y,z'
'-x,-y,-z'
'-x,y,-z'
'x,-y,z'
'x+1/2,y+1/2,z'
'-x+1/2,-y+1/2,-z'
'-x+1/2,y+1/2,-z'
'x+1/2,-y+1/2,z'
loop_
_atom_site_label
_atom_site_fract_x
_atom_site_fract_y
_atom_site_fract_z
_atom_site_occupancy
Mg1 0.241 0.000 0.223 1
Ag1 0.000 0.500 0.000 1
Pb1 0.000 0.000 0.500 1


(2)
# Mg3AgPb PBE relaxed
# Polymorph energy (0 for the lowest one) ... 192 meV per atom
# DFT formation energy ... 112 meV/atom
# Fermi-level density of states ... 2.5 states/eV per cell
data_Mg3AgPb
_chemical_formula_sum 'Mg3 Ag1 Pb1'
_space_group_name_H-M_alt 'P m -3 m'
_space_group_IT_number 221
_space_group_name_Hall '-P 4 2 3'
_cell_length_a 5.120
_cell_length_b 5.120
_cell_length_c 5.120
_cell_angle_alpha 90.00
_cell_angle_beta 90.00
_cell_angle_gamma 90.00
loop_
_atom_site_label
_atom_site_fract_x
_atom_site_fract_y
_atom_site_fract_z
_atom_site_occupancy
Mg1 0.000 0.000 0.500 1
Ag1 0.000 0.000 0.000 1
Pb1 0.500 0.500 0.500 1


(3)
# Mg2AgPb PBE relaxed
# DFT formation energy ... -56 meV/atom
# Fermi-level density of states ... 2.1 states/eV per cell
data_Mg2AgPb
_chemical_formula_sum 'Mg4 Ag2 Pb2'
_space_group_name_H-M_alt 'I m m 2'
_space_group_IT_number 44
_cell_length_a 3.573
_cell_length_b 4.862
_cell_length_c 10.530
_cell_angle_alpha 90.00
_cell_angle_beta 90.00
_cell_angle_gamma 90.00
loop_
_space_group_symop_operation_xyz
'x,y,z'
'-x,-y,z'
'-x,y,z'
'x,-y,z'
'x+1/2,y+1/2,z+1/2'
'-x+1/2,-y+1/2,z+1/2'
'-x+1/2,y+1/2,z+1/2'
'x+1/2,-y+1/2,z+1/2'
loop_
_atom_site_label
_atom_site_fract_x
_atom_site_fract_y
_atom_site_fract_z
_atom_site_occupancy
Mg1 0.000 0.000 0.000 1
Mg2 0.000 0.500 0.228 1
Ag1 0.000 0.000 0.516 1
Pb1 0.000 0.500 0.772 1


(4)
# Mg6Ag2Pb PBE relaxed
# DFT formation energy ... -90 meV/atom
# Fermi-level density of states ... 11.3 states/eV per cell
data_Mg6Ag2Pb
_chemical_formula_sum 'Mg24 Ag8 Pb4'
_space_group_name_H-M_alt 'I m m m'
_space_group_IT_number 71
_space_group_name_Hall '-I 2 2'
_cell_length_a 9.016
_cell_length_b 9.079
_cell_length_c 9.968
_cell_angle_alpha 90.00
_cell_angle_beta 90.00
_cell_angle_gamma 90.00
loop_
_atom_site_label
_atom_site_fract_x
_atom_site_fract_y
_atom_site_fract_z
_atom_site_occupancy
Mg1 0.000 0.209 0.168 1
Mg2 0.187 0.212 0.500 1
Mg3 0.211 0.500 0.249 1
Ag1 0.000 0.000 0.362 1
Ag2 0.158 0.000 0.000 1
Pb1 0.000 0.500 0.000 1
Pb2 0.000 0.500 0.500 1


| no. | magnetization (Bohr magnetons per cell) |
| --- | --- |
| 1 | 0.00 |
| 2 | 0.00 |
| 3 | 0.00 |
| 4 | 0.00 |